Density functional theory data (GGA-PBE) for a relaxed AcScAgIr crystal.

Values from the calculation:
**Energy of formation from the pure elements**: -0.315 eV/atom
**DOS(E_F)**: 15.648 states/eV/cell

Geometry as POSCAR:
```
AcScAgIr
1.0
7.201 0.000 0.000
0.000 7.201 0.000
0.000 0.000 7.201
Ac Sc Ag Ir
4 4 4 4
direct
0.000 0.000 0.000 Ac
0.000 0.500 0.500 Ac
0.500 0.000 0.500 Ac
0.500 0.500 0.000 Ac
0.000 0.000 0.500 Sc
0.000 0.500 0.000 Sc
0.500 0.000 0.000 Sc
0.500 0.500 0.500 Sc
0.250 0.250 0.750 Ag
0.250 0.750 0.250 Ag
0.750 0.250 0.250 Ag
0.750 0.750 0.750 Ag
0.250 0.250 0.250 Ir
0.250 0.750 0.750 Ir
0.750 0.250 0.750 Ir
0.750 0.750 0.250 Ir
```

---

Density functional theory data (GGA-PBE) for a relaxed CaCdAu crystal.

Values from the calculation:
**Energy of formation from the pure elements**: -0.205 eV/atom
**DOS(E_F)**: 10.137 states/eV/cell

Geometry as POSCAR:
```
CaCdAu
1.0
7.043 0.000 0.000
0.000 7.043 0.000
0.000 0.000 7.043
Ca Cd Au
4 4 4
direct
0.000 0.000 0.000 Ca
0.000 0.500 0.500 Ca
0.500 0.000 0.500 Ca
0.500 0.500 0.000 Ca
0.250 0.250 0.750 Cd
0.250 0.750 0.250 Cd
0.750 0.250 0.250 Cd
0.750 0.750 0.750 Cd
0.250 0.250 0.250 Au
0.250 0.750 0.750 Au
0.750 0.250 0.750 Au
0.750 0.750 0.250 Au
```

---

- Look up the DOS(E_F) of the second one.
  10.137 states/eV/cell

---

- Which of these has the lowest energy of formation from the pure elements?
  AcScAgIr

---

- Among the records above, which one has the lowest energy of formation from the pure elements?
  AcScAgIr